No. 1
CaSc2Ir: optimized geometry, PBE.

Summary:
Theoretical density, g cm⁻³: 5.68
DFT formation energy, eV per atom: 0.370

Unit cell a=3.1752 b=3.1752 c=32.3839 alpha=90.00 beta=90.00 gamma=120.00
Space group R-3m (No. 166, hexagonal axes)
Unique sites:
Ca: 0.0000 0.0000 0.0000 x3
Sc: 0.0000 0.0000 0.4248 x6
Ir: 0.0000 0.0000 0.5000 x3

No. 2
Ta2MnNi: optimized geometry, PBE.

Summary:
Theoretical density, g cm⁻³: 13.61
DFT formation energy, eV per atom: -0.127

Unit cell a=6.1457 b=6.1457 c=6.1457 alpha=90.00 beta=90.00 gamma=90.00
Space group Fm-3m (No. 225)
Unique sites:
Ta: 0.2500 0.2500 0.2500 x8
Mn: 0.0000 0.0000 0.0000 x4
Ni: 0.0000 0.0000 0.5000 x4

No. 3
SrGaI2N: optimized geometry, PBE.

Summary:
Electronic total energy, eV for the cell shown: -16.02
Theoretical density, g cm⁻³: 3.34

Unit cell a=6.4863 b=6.4863 c=5.0209 alpha=90.00 beta=90.00 gamma=90.00
Space group P4/mmm (No. 123)
Unique sites:
Sr: 0.0000 0.0000 0.0000 x1
Ga: 0.5000 0.5000 0.5000 x1
I: 0.0000 0.5000 0.0000 x2
N: 0.0000 0.0000 0.5000 x1

No. 4
HfZr3Pt: optimized geometry, PBE.

Summary:
Theoretical density, g cm⁻³: 8.38
DFT formation energy, eV per atom: 1.126

Unit cell a=5.0422 b=5.0422 c=5.0422 alpha=90.00 beta=90.00 gamma=90.00
Space group Pm-3m (No. 221)
Unique sites:
Hf: 0.0000 0.0000 0.0000 x1
Zr: 0.0000 0.0000 0.5000 x3
Pt: 0.5000 0.5000 0.5000 x1

No. 5
K4Tm3TiTe8: optimized geometry, PBE.

Summary:
Electronic total energy, eV for the cell shown: -210.86
Theoretical density, g cm⁻³: 5.25

Unit cell a=8.7707 b=8.7707 c=24.6702 alpha=90.00 beta=90.00 gamma=120.00
Space group R-3m (No. 166, hexagonal axes)
Unique sites:
K: 0.0000 0.0000 0.0000 x3
K: 0.0000 0.5000 0.0000 x9
Tm: 0.0000 0.5000 0.5000 x9
Ti: 0.0000 0.0000 0.5000 x3
Te: 0.0000 0.0000 0.2361 x6
Te: 0.0145 0.5072 0.2333 x18

No. 6
CrNi8Ir6: optimized geometry, PBE.

Summary:
Theoretical density, g cm⁻³: 13.88
DFT formation energy, eV per atom: 0.226

Unit cell a=6.9417 b=6.9417 c=14.4035 alpha=90.00 beta=90.00 gamma=120.00
Space group R-3 (No. 148, hexagonal axes)
Unique sites:
Cr: 0.0000 0.0000 0.0000 x3
Ni: 0.0000 0.0000 0.2194 x6
Ni: 0.0045 0.6795 0.1418 x18
Ir: 0.0359 0.7850 0.6395 x18

No. 7
EuCdNi: optimized geometry, PBE.

Summary:
Theoretical density, g cm⁻³: 7.57
DFT formation energy, eV per atom: -0.129

Unit cell a=4.5424 b=4.5424 c=3.9657 alpha=90.00 beta=90.00 gamma=120.00
Space group P-6m2 (No. 187)
Unique sites:
Eu: 0.0000 0.0000 0.0000 x1
Cd: 0.3333 0.6667 0.5000 x1
Ni: 0.6667 0.3333 0.5000 x1

No. 8
ReNiIr2: optimized geometry, PBE.

Summary:
Theoretical density, g cm⁻³: 18.88
DFT formation energy, eV per atom: -0.049

Unit cell a=2.7091 b=3.8135 c=5.3568 alpha=90.00 beta=90.00 gamma=90.00
Space group Pmm2 (No. 25)
Unique sites:
Re: 0.0000 0.0000 0.0000 x1
Ni: 0.5000 0.5000 0.7624 x1
Ir: 0.0000 0.0000 0.5263 x1
Ir: 0.5000 0.5000 0.2482 x1

| no. | spin magnetization (μB/cell) |
| --- | --- |
| 1 | 0.00 |
| 2 | 0.00 |
| 3 | 2.01 |
| 4 | 0.00 |
| 5 | 3.00 |
| 6 | 2.08 |
| 7 | 7.13 |
| 8 | 0.00 |